The following is a GGA-PBE calculation of crystalline K2MnCoCl6 at its relaxed geometry, from Alexandria.

a = 6.9613 Å, b = 6.9613 Å, c = 6.9613 Å
α = 60.73°, β = 60.73°, γ = 60.73°
Element x y z (fractional)
K 0.2503 0.2503 0.2503
K 0.7497 0.7497 0.7497
Mn 0.0000 0.0000 0.0000
Co 0.5000 0.5000 0.5000
Cl 0.2040 0.7468 0.3027
Cl 0.2532 0.6973 0.7960
Cl 0.3027 0.2040 0.7468
Cl 0.6973 0.7960 0.2532
Cl 0.7468 0.3027 0.2040
Cl 0.7960 0.2532 0.6973

Computed properties:
Crystal system   trigonal
Space-group type   No. 148
DFT total energy   -4.197 eV per atom
Total magnetization   7.71 μB/f.u.
E_form (uncorrected)   -1.242 eV/atom